Record 1
VASP calculation (PBE) on CuMo3As after structural relaxation.

abc: 4.595 4.595 4.595
angles: 90.00 90.00 90.00
Sites, in units of the cell vectors:
Mo 0.000 0.500 0.000
As 0.000 0.000 0.000
Mo 0.500 0.000 0.000
Mo 0.000 0.000 0.500
Cu 0.500 0.500 0.500

Summary:
Symmetry ... Pm-3m
Formation energy ... 1382 meV per atom
Uncorrected energy ... -34.3 eV/cell

Record 2
VASP calculation (PBE) on CuMo2As after structural relaxation.

abc: 8.504 8.504 8.504
angles: 19.70 19.70 19.70
Sites, in units of the cell vectors:
Cu 0.750 0.750 0.750
As 0.250 0.250 0.250
Mo 0.503 0.503 0.503
Mo 0.997 0.997 0.997

Summary:
Symmetry ... R-3m
Formation energy ... 346 meV per atom
Uncorrected energy ... -29.0 eV/cell

Record 3
VASP calculation (PBE) on CuMoAs3 after structural relaxation.

abc: 4.868 4.868 4.868
angles: 90.00 90.00 90.00
Sites, in units of the cell vectors:
As 0.000 0.500 0.000
Mo 0.000 0.000 0.000
As 0.000 0.000 0.500
As 0.500 0.000 0.000
Cu 0.500 0.500 0.500

Summary:
Symmetry ... Pm-3m
Formation energy ... 686 meV per atom
Uncorrected energy ... -25.4 eV/cell

Record 4
VASP calculation (PBE) on Cu2MoAs after structural relaxation.

abc: 3.405 3.929 4.176
angles: 90.00 90.00 90.00
Sites, in units of the cell vectors:
As 0.000 0.500 0.500
Cu 0.000 0.000 0.000
Mo 0.500 0.000 0.500
Cu 0.500 0.500 0.000

Summary:
Symmetry ... Pmmm
Formation energy ... 174 meV per atom
Uncorrected energy ... -23.0 eV/cell

Record 5
VASP calculation (PBE) on CuMo2As after structural relaxation.

abc: 3.022 3.022 6.447
angles: 90.00 90.00 90.00
Sites, in units of the cell vectors:
Mo 0.000 0.000 0.008
As 0.500 0.500 0.250
Mo 0.000 0.000 0.492
Cu 0.500 0.500 0.750

Summary:
Symmetry ... P4/mmm
Formation energy ... 211 meV per atom
Uncorrected energy ... -29.6 eV/cell

Record 6
VASP calculation (PBE) on Cu2MoAs after structural relaxation.

abc: 8.562 8.562 8.562
angles: 19.10 19.10 19.10
Sites, in units of the cell vectors:
Mo 0.501 0.501 0.501
Cu 0.997 0.997 0.997
Cu 0.253 0.253 0.253
As 0.750 0.750 0.750

Summary:
Symmetry ... R3m
Formation energy ... 267 meV per atom
Uncorrected energy ... -22.6 eV/cell

Record 7
VASP calculation (PBE) on Cu2MoAs after structural relaxation.

abc: 4.780 4.780 4.780
angles: 133.90 133.97 67.19
Sites, in units of the cell vectors:
Cu 0.750 0.250 0.500
As 0.250 0.750 0.500
Mo 0.500 0.500 0.000
Cu 0.000 0.000 0.000

Summary:
Symmetry ... I-4m2
Formation energy ... 209 meV per atom
Uncorrected energy ... -22.8 eV/cell

Record 8
VASP calculation (PBE) on CuMo2As after structural relaxation.

abc: 4.957 4.957 4.957
angles: 141.25 128.64 66.15
Sites, in units of the cell vectors:
Cu 0.735 0.235 0.500
Mo 0.259 0.759 0.500
Mo 0.998 0.998 0.000
As 0.508 0.508 0.000

Summary:
Symmetry ... Imm2
Formation energy ... 157 meV per atom
Uncorrected energy ... -29.8 eV/cell

Record 9
VASP calculation (PBE) on CuMo2As after structural relaxation.

abc: 4.872 4.872 4.481
angles: 73.48 73.48 35.44
Sites, in units of the cell vectors:
As 0.488 0.488 0.465
Cu 0.764 0.764 0.788
Mo 0.019 0.019 0.944
Mo 0.229 0.229 0.303

Summary:
Symmetry ... Cm
Formation energy ... 175 meV per atom
Uncorrected energy ... -29.7 eV/cell

Record 10
VASP calculation (PBE) on CuMo2As after structural relaxation.

abc: 2.778 2.778 8.115
angles: 90.00 90.00 104.78
Sites, in units of the cell vectors:
Cu 0.500 0.500 0.750
As 0.500 0.500 0.250
Mo 0.000 0.000 0.999
Mo 0.000 0.000 0.501

Summary:
Symmetry ... Cmmm
Formation energy ... 402 meV per atom
Uncorrected energy ... -28.8 eV/cell

Record 11
VASP calculation (PBE) on Cu2MoAs after structural relaxation.

abc: 8.681 8.681 8.681
angles: 18.73 18.73 18.73
Sites, in units of the cell vectors:
Cu 0.002 0.002 0.002
Mo 0.250 0.250 0.250
Cu 0.498 0.498 0.498
As 0.750 0.750 0.750

Summary:
Symmetry ... R-3m
Formation energy ... 330 meV per atom
Uncorrected energy ... -22.4 eV/cell

Record 12
VASP calculation (PBE) on Cu2MoAs after structural relaxation.

abc: 2.698 2.698 8.420
angles: 90.00 90.00 103.25
Sites, in units of the cell vectors:
As 0.500 0.500 0.742
Cu 0.500 0.500 0.243
Mo 0.000 0.000 0.489
Cu 0.000 0.000 0.026

Summary:
Symmetry ... Cmm2
Formation energy ... 284 meV per atom
Uncorrected energy ... -22.5 eV/cell